{
  "formula": "Nd2AlCu2Pd5",
  "functional": "GGA-PBE",
  "state": "relaxed",
  "total_energy_ev_per_atom": -5.382,
  "sg": "P4/mbm (127)",
  "formation_enthalpy_0k_ev_per_fu": -6.4,
  "cell": [[-2.382, 2.120, 2.091], [-5.948, -7.549, 0.880], [4.629, -2.712, 8.022]],
  "species": ["Pd", "Pd", "Pd", "Pd", "Pd", "Pd", "Pd", "Pd", "Pd", "Pd", "Nd", "Nd", "Nd", "Nd", "Cu", "Cu", "Cu", "Cu", "Al", "Al"],
  "frac_coords": [[0.500, 0.937, 0.201], [0.500, 0.201, 0.063], [0.500, 0.500, 0.000], [0.500, 0.063, 0.799], [0.500, 0.437, 0.299], [0.500, 0.701, 0.437], [0.500, 0.299, 0.563], [0.500, 0.000, 0.500], [0.500, 0.563, 0.701], [0.500, 0.799, 0.937], [0.000, 0.325, 0.825], [0.000, 0.825, 0.675], [0.000, 0.175, 0.325], [0.000, 0.675, 0.175], [0.000, 0.124, 0.624], [0.000, 0.624, 0.876], [0.000, 0.376, 0.124], [0.000, 0.876, 0.376], [0.000, 0.500, 0.500], [0.000, 0.000, 0.000]]
}